Computed, not measured: a relaxed structure of Te2HI at the GGA-PBE level of DFT.

Geometry as POSCAR:
```
Te2HI
1.0
1.4310 -3.9702 3.1638
0.0157 0.6711 5.2316
-3.6100 -2.4290 2.9813
I Te H
1 2 1
Cartesian
-1.0816 -2.8641 5.6884
-0.5408 -1.4320 2.8442
-1.6224 -4.2961 8.5325
0.0000 0.0000 0.0000
```

Calculated values
Its volume is 103.76 Å³/cell. For the relative energy among the computed polymorphs, the calculation gives 959 meV/atom. As for the space-group type: Fm-3m.

Computed, not measured: a relaxed structure of Te2H2I7 at the GGA-PBE level of DFT.

Geometry as POSCAR:
```
Te2H2I7
1.0
-9.4652 1.3359 -4.7009
-2.9291 -5.7444 -5.3109
-6.7237 0.7374 4.8461
I H Te
7 2 2
Cartesian
-7.1652 -4.1014 -4.3735
-11.0991 -2.5546 -4.0150
-8.0189 -1.1165 -1.1507
0.0000 0.0000 0.0000
-15.4152 -2.3297 -2.8975
-3.7029 -1.3414 -2.2683
-11.9528 0.4304 -0.7922
-7.8710 -3.7714 -5.9925
-11.2471 0.1003 0.8267
-12.1015 -0.0121 -4.1923
-7.0166 -3.6590 -0.9734
```

Calculated values
Its volume is 484.81 Å³/cell. As for the electronic total energy: -23.4 eV/f.u. As for the space-group type: P-1.

Computed, not measured: a relaxed structure of Te2H2I3 at the GGA-PBE level of DFT.

Geometry as POSCAR:
```
Te2H2I3
1.0
-9.2390 -4.8212 -3.3418
0.1440 -6.6448 1.8934
-0.9082 -11.8280 7.3890
Te I H
2 3 2
Cartesian
-8.9766 -19.2239 5.0442
-1.0266 -4.0701 0.8964
-6.0054 -10.4175 1.5659
-3.9977 -12.8765 4.3748
0.0000 0.0000 0.0000
-3.0204 -12.6646 5.6786
-6.9827 -10.6294 0.2621
```

Calculated values
Its volume is 285.99 Å³/cell. As for the electronic total energy: -17.1 eV/f.u. As for the space-group type: P-1.